Compound: Cs2YCl6O
Source: Alexandria via LeMat-Bulk
Functional: PBE-GGA
Structure: relaxed

Properties
formation energy without anion corrections: -1.449 eV per atom
DOS(E_F): 0.000 states/eV per cell

Lattice parameters (Å, degrees): 10.686 10.686 10.686 90.00 90.00 90.00
Space group Fm-3m (No. 225)
Inequivalent atoms, fractional coordinates:
Cs 0.250 0.250 0.250 (multiplicity 8)
Y 0.000 0.000 0.000 (multiplicity 4)
Cl 0.000 0.000 0.247 (multiplicity 24)
O 0.000 0.000 0.500 (multiplicity 4)